DFT (GGA-PBE) results for a geometry-optimized BaRhCO5 structure.

Computed properties:
The energy relative to the elements, uncorrected comes out at -1274 meV/atom. The calculation puts the calculated volume at 99.37 Å³/f.u. The calculation puts the calculated total energy at -6.68 eV/atom.

Cell lengths 6.806, 9.051, 7.086 Å; angles 90.00, 114.43, 90.00 degrees
Space group C2/c (No. 15)
Unique sites:
Ba: 0.000 0.146 0.250 (multiplicity 4)
Rh: 0.000 0.500 0.000 (multiplicity 4)
C: 0.000 0.204 0.750 (multiplicity 4)
O: 0.000 0.429 0.250 (multiplicity 4)
O: 0.094 0.288 0.642 (multiplicity 8)
O: 0.160 0.111 0.904 (multiplicity 8)

DFT (GGA-PBE) results for a geometry-optimized BaScC2O6 structure.

Computed properties:
The energy relative to the elements, uncorrected comes out at -2056 meV/atom. The calculation puts the calculated volume at 128.09 Å³/f.u. The calculation puts the calculated total energy at -7.70 eV/atom.

Cell lengths 8.138, 9.882, 6.755 Å; angles 90.00, 109.41, 90.00 degrees
Space group C2/c (No. 15)
Unique sites:
Ba: 0.000 0.141 0.250 (multiplicity 4)
Sc: 0.000 0.406 0.750 (multiplicity 4)
C: 0.240 0.377 0.251 (multiplicity 8)
O: 0.090 0.383 0.097 (multiplicity 8)
O: 0.166 0.231 0.709 (multiplicity 8)
O: 0.222 0.017 0.623 (multiplicity 8)

DFT (GGA-PBE) results for a geometry-optimized Ba2ScCO structure.

Computed properties:
The energy relative to the elements, uncorrected comes out at -208 meV/atom. The calculation puts the calculated volume at 125.03 Å³/f.u. The calculation puts the calculated total energy at -5.08 eV/atom.

Cell lengths 5.510, 5.510, 4.119 Å; angles 90.00, 90.00, 90.00 degrees
Space group P4/mmm (No. 123)
Unique sites:
Ba: 0.000 0.500 0.000 (multiplicity 2)
Sc: 0.000 0.000 0.500 (multiplicity 1)
C: 0.500 0.500 0.500 (multiplicity 1)
O: 0.000 0.000 0.000 (multiplicity 1)

DFT (GGA-PBE) results for a geometry-optimized BaSrC2O structure.

Computed properties:
The energy relative to the elements, uncorrected comes out at 1082 meV/atom. The calculation puts the calculated volume at 111.94 Å³/f.u. The calculation puts the calculated total energy at -4.32 eV/atom.

Cell lengths 4.883, 4.883, 4.696 Å; angles 90.00, 90.00, 90.00 degrees
Space group P4/mmm (No. 123)
Unique sites:
Ba: 0.000 0.000 0.000 (multiplicity 1)
Sr: 0.500 0.500 0.500 (multiplicity 1)
C: 0.000 0.500 0.500 (multiplicity 2)
O: 0.500 0.500 0.000 (multiplicity 1)